# PBE NaAlTeN2, optimized geometry
# **Crystal system**: tetragonal
# **Excess energy over the best structure of this formula in the dataset**: 0.00 eV/f.u.
data_NaAlTeN2
_cell_length_a 4.015
_cell_length_b 4.015
_cell_length_c 5.761
_cell_angle_alpha 90.00
_cell_angle_beta 90.00
_cell_angle_gamma 90.00
_symmetry_space_group_name_H-M 'P 4/m m m'
_symmetry_Int_Tables_number 123
_symmetry_space_group_name_Hall '-P 4 2'
loop_
_atom_site_label
_atom_site_type_symbol
_atom_site_fract_x
_atom_site_fract_y
_atom_site_fract_z
Na1 Na 0.000 0.000 0.000
Al1 Al 0.500 0.500 0.500
Te1 Te 0.500 0.500 0.000
N1 N 0.000 0.500 0.500

# PBE NaTiAlN2, optimized geometry
# **Crystal system**: tetragonal
data_NaTiAlN2
_cell_length_a 3.841
_cell_length_b 3.841
_cell_length_c 4.430
_cell_angle_alpha 90.00
_cell_angle_beta 90.00
_cell_angle_gamma 90.00
_symmetry_space_group_name_H-M 'P 4/m m m'
_symmetry_Int_Tables_number 123
_symmetry_space_group_name_Hall '-P 4 2'
loop_
_atom_site_label
_atom_site_type_symbol
_atom_site_fract_x
_atom_site_fract_y
_atom_site_fract_z
Na1 Na 0.000 0.000 0.000
Ti1 Ti 0.500 0.500 0.000
Al1 Al 0.000 0.000 0.500
N1 N 0.000 0.500 0.500

# PBE Na2AlTlN, optimized geometry
# **Crystal system**: tetragonal
data_Na2AlTlN
_cell_length_a 5.274
_cell_length_b 5.274
_cell_length_c 3.654
_cell_angle_alpha 90.00
_cell_angle_beta 90.00
_cell_angle_gamma 90.00
_symmetry_space_group_name_H-M 'P 4/m m m'
_symmetry_Int_Tables_number 123
_symmetry_space_group_name_Hall '-P 4 2'
loop_
_atom_site_label
_atom_site_type_symbol
_atom_site_fract_x
_atom_site_fract_y
_atom_site_fract_z
Na1 Na 0.000 0.500 0.000
Al1 Al 0.000 0.000 0.500
Tl1 Tl 0.500 0.500 0.500
N1 N 0.000 0.000 0.000

The following E_form (uncorrected) values (in eV per atom) correspond, in order, to the records above: 0.64; 1.02; -0.09.
The following E values (in eV per atom) correspond, in order, to the records above: -4.332; -4.897; -3.500.